Density functional theory data (GGA-PBE) for K2NaSrMg after structural relaxation.

Cell lengths 6.781, 6.780, 6.781 Å; angles 90.00, 90.00, 90.00 degrees
Fractional positions:
Sr 0.000 0.500 0.000
K 0.000 0.000 0.500
K 0.500 0.000 0.000
Mg 0.000 0.000 0.000
Na 0.500 0.500 0.500

Space-group type: P4/mmm
E (eV/atom): -1.08
Formation energy (eV/atom): 0.28
Total magnetic moment (μB per formula unit): 0.00


Density functional theory data (GGA-PBE) for Ho3AsO7 after structural relaxation.

Cell lengths 6.331, 6.331, 7.309 Å; angles 90.00, 90.00, 109.11 degrees
Fractional positions:
Ho 0.479 0.479 0.500
Ho 0.521 0.521 0.000
Ho 0.535 0.998 0.254
Ho 0.465 0.002 0.754
Ho 0.998 0.535 0.746
Ho 0.002 0.465 0.246
As 0.999 0.999 0.500
As 0.001 0.001 0.000
O 0.698 0.945 0.532
O 0.302 0.055 0.032
O 0.945 0.698 0.468
O 0.055 0.302 0.968
O 0.070 0.310 0.526
O 0.930 0.690 0.026
O 0.310 0.070 0.474
O 0.690 0.930 0.974
O 0.370 0.630 0.250
O 0.630 0.370 0.750
O 0.637 0.363 0.250
O 0.363 0.637 0.750
O 0.940 0.060 0.250
O 0.060 0.940 0.750

Space-group type: C222_1
E (eV/atom): -7.75
ΔE_f (raw) (meV/atom): -2919
Total magnetic moment (μB per formula unit): 0.00


Density functional theory data (GGA-PBE) for AlNiP2 after structural relaxation.

Cell lengths 3.799, 4.359, 3.276 Å; angles 90.00, 90.00, 90.00 degrees
Fractional positions:
Ni 0.000 0.500 0.500
Al 0.500 0.000 0.500
P 0.000 0.000 0.000
P 0.500 0.500 0.000

Space-group type: Pmmm
E (eV/atom): -4.95
Formation energy (eV/atom): 0.14
Total magnetic moment (μB per formula unit): 0.00


Density functional theory data (GGA-PBE) for Y2NbPbC after structural relaxation.

Cell lengths 4.979, 4.979, 4.334 Å; angles 90.00, 90.00, 90.00 degrees
Fractional positions:
Pb 0.500 0.500 0.500
Y 0.000 0.500 0.000
Y 0.500 0.000 0.000
Nb 0.000 0.000 0.500
C 0.000 0.000 0.000

Space-group type: P4/mmm
E (eV/atom): -7.53
Formation energy (eV/atom): -0.35
Total magnetic moment (μB per formula unit): 0.00